# Sm9Ho4Er11 (PBE, optimized geometry)
data_Sm9Ho4Er11
_cell_length_a 16.6398
_cell_length_b 25.2070
_cell_length_c 3.6813
_cell_angle_alpha 90.00
_cell_angle_beta 90.00
_cell_angle_gamma 90.00
_space_group_name_H-M_alt 'C m m m'
_space_group_IT_number 65
_space_group_name_Hall '-C 2 2'
loop_
_atom_site_label
_atom_site_type_symbol
_atom_site_fract_x
_atom_site_fract_y
_atom_site_fract_z
_atom_site_occupancy
Sm1 Sm 0.0000 0.0000 0.0000 1
Sm2 Sm 0.1033 0.2337 0.0000 1
Sm3 Sm 0.1402 0.4266 0.0000 1
Ho1 Ho 0.1550 0.1005 0.0000 1
Er1 Er 0.0000 0.1331 0.5000 1
Er2 Er 0.0000 0.3395 0.5000 1
Er3 Er 0.0000 0.5000 0.5000 1
Er4 Er 0.2096 0.0000 0.5000 1
Er5 Er 0.2258 0.3195 0.5000 1
# D(E_F), states/eV/f.u.: 31.0
# Formation energy, meV/atom: 49

# Sm2HoEr2 (PBE, optimized geometry)
data_Sm2HoEr2
_cell_length_a 9.2412
_cell_length_b 9.2412
_cell_length_c 3.7671
_cell_angle_alpha 90.00
_cell_angle_beta 90.00
_cell_angle_gamma 90.00
_space_group_name_H-M_alt 'P 4/m b m'
_space_group_IT_number 127
_space_group_name_Hall '-P 4 2ab'
loop_
_atom_site_label
_atom_site_type_symbol
_atom_site_fract_x
_atom_site_fract_y
_atom_site_fract_z
_atom_site_occupancy
Sm1 Sm 0.1302 0.3698 0.0000 1
Ho1 Ho 0.0000 0.0000 0.0000 1
Er1 Er 0.1689 0.6689 0.5000 1
# D(E_F), states/eV/f.u.: 3.7
# Distance to the lowest polymorph of the same formula, meV/atom: 0
# Formation energy, meV/atom: 98

# Sm4Ho3Er5 (PBE, optimized geometry)
data_Sm4Ho3Er5
_cell_length_a 15.9909
_cell_length_b 5.8823
_cell_length_c 9.2964
_cell_angle_alpha 90.00
_cell_angle_beta 116.59
_cell_angle_gamma 90.00
_space_group_name_H-M_alt 'C 1 2/m 1'
_space_group_IT_number 12
_space_group_name_Hall '-C 2y'
loop_
_atom_site_label
_atom_site_type_symbol
_atom_site_fract_x
_atom_site_fract_y
_atom_site_fract_z
_atom_site_occupancy
Sm1 Sm 0.0834 0.0000 0.4445 1
Sm2 Sm 0.2152 0.0000 0.8814 1
Ho1 Ho 0.0000 0.5000 0.0000 1
Ho2 Ho 0.2115 0.0000 0.2359 1
Er1 Er 0.0000 0.0000 0.0000 1
Er2 Er 0.0713 0.5000 0.7015 1
Er3 Er 0.1715 0.5000 0.3842 1
# D(E_F), states/eV/f.u.: 19.6
# Distance to the lowest polymorph of the same formula, meV/atom: 218
# Formation energy, meV/atom: 237

# SmHo9Er2 (PBE, optimized geometry)
data_SmHo9Er2
_cell_length_a 4.9918
_cell_length_b 4.9918
_cell_length_c 14.9738
_cell_angle_alpha 90.00
_cell_angle_beta 90.00
_cell_angle_gamma 90.00
_space_group_name_H-M_alt 'P 4/m m m'
_space_group_IT_number 123
_space_group_name_Hall '-P 4 2'
loop_
_atom_site_label
_atom_site_type_symbol
_atom_site_fract_x
_atom_site_fract_y
_atom_site_fract_z
_atom_site_occupancy
Sm1 Sm 0.0000 0.0000 0.0000 1
Ho1 Ho 0.0000 0.5000 0.1684 1
Ho2 Ho 0.0000 0.5000 0.5000 1
Ho3 Ho 0.5000 0.5000 0.0000 1
Ho4 Ho 0.5000 0.5000 0.3346 1
Er1 Er 0.0000 0.0000 0.3342 1
# D(E_F), states/eV/f.u.: 17.9
# Distance to the lowest polymorph of the same formula, meV/atom: 0
# Formation energy, meV/atom: 22

# Sm5Ho8Er (PBE, optimized geometry)
data_Sm5Ho8Er
_cell_length_a 9.5769
_cell_length_b 9.5769
_cell_length_c 10.0396
_cell_angle_alpha 90.00
_cell_angle_beta 90.00
_cell_angle_gamma 90.00
_space_group_name_H-M_alt 'I -4'
_space_group_IT_number 82
_space_group_name_Hall 'I -4'
loop_
_atom_site_label
_atom_site_type_symbol
_atom_site_fract_x
_atom_site_fract_y
_atom_site_fract_z
_atom_site_occupancy
Sm1 Sm 0.0000 0.0000 0.0000 1
Sm2 Sm 0.1102 0.2133 0.5786 1
Ho1 Ho 0.0707 0.3255 0.9068 1
Ho2 Ho 0.0872 0.1757 0.2478 1
Er1 Er 0.0000 0.5000 0.2500 1
# D(E_F), states/eV/f.u.: 19.1
# Formation energy, meV/atom: 248

# Sm5HoEr5 (PBE, optimized geometry)
data_Sm5HoEr5
_cell_length_a 6.0573
_cell_length_b 6.0573
_cell_length_c 11.6935
_cell_angle_alpha 90.00
_cell_angle_beta 90.00
_cell_angle_gamma 120.00
_space_group_name_H-M_alt 'P -6 m 2'
_space_group_IT_number 187
_space_group_name_Hall 'P -6 2'
loop_
_atom_site_label
_atom_site_type_symbol
_atom_site_fract_x
_atom_site_fract_y
_atom_site_fract_z
_atom_site_occupancy
Sm1 Sm 0.0000 0.0000 0.0000 1
Sm2 Sm 0.3333 0.6667 0.3155 1
Sm3 Sm 0.6667 0.3333 0.1531 1
Ho1 Ho 0.3333 0.6667 0.0000 1
Er1 Er 0.0000 0.0000 0.2656 1
Er2 Er 0.3337 0.1668 0.5000 1
# D(E_F), states/eV/f.u.: 21.8
# Formation energy, meV/atom: 306

# Sm4Ho11Er9 (PBE, optimized geometry)
data_Sm4Ho11Er9
_cell_length_a 16.5710
_cell_length_b 24.9430
_cell_length_c 3.6550
_cell_angle_alpha 90.00
_cell_angle_beta 90.00
_cell_angle_gamma 90.00
_space_group_name_H-M_alt 'C m m m'
_space_group_IT_number 65
_space_group_name_Hall '-C 2 2'
loop_
_atom_site_label
_atom_site_type_symbol
_atom_site_fract_x
_atom_site_fract_y
_atom_site_fract_z
_atom_site_occupancy
Sm1 Sm 0.1547 0.1005 0.0000 1
Ho1 Ho 0.0000 0.1345 0.5000 1
Ho2 Ho 0.0000 0.3405 0.5000 1
Ho3 Ho 0.0000 0.5000 0.5000 1
Ho4 Ho 0.2113 0.0000 0.5000 1
Ho5 Ho 0.2257 0.3187 0.5000 1
Er1 Er 0.0000 0.0000 0.0000 1
Er2 Er 0.1018 0.2352 0.0000 1
Er3 Er 0.1394 0.4272 0.0000 1
# D(E_F), states/eV/f.u.: 29.8
# Formation energy, meV/atom: 56

# Sm3Ho2Er (PBE, optimized geometry)
data_Sm3Ho2Er
_cell_length_a 10.7559
_cell_length_b 6.2067
_cell_length_c 11.5386
_cell_angle_alpha 90.00
_cell_angle_beta 90.00
_cell_angle_gamma 90.00
_space_group_name_H-M_alt 'C m c m'
_space_group_IT_number 63
_space_group_name_Hall '-C 2c 2'
loop_
_atom_site_label
_atom_site_type_symbol
_atom_site_fract_x
_atom_site_fract_y
_atom_site_fract_z
_atom_site_occupancy
Sm1 Sm 0.0000 0.0000 0.0000 1
Sm2 Sm 0.1664 0.5000 0.0000 1
Ho1 Ho 0.1667 0.1660 0.2500 1
Er1 Er 0.0000 0.3339 0.7500 1
# D(E_F), states/eV/f.u.: 7.2
# Distance to the lowest polymorph of the same formula, meV/atom: 0
# Formation energy, meV/atom: -2

# Sm4HoEr (PBE, optimized geometry)
data_Sm4HoEr
_cell_length_a 11.6251
_cell_length_b 11.6269
_cell_length_c 3.4532
_cell_angle_alpha 90.00
_cell_angle_beta 90.00
_cell_angle_gamma 90.00
_space_group_name_H-M_alt 'C m m m'
_space_group_IT_number 65
_space_group_name_Hall '-C 2 2'
loop_
_atom_site_label
_atom_site_type_symbol
_atom_site_fract_x
_atom_site_fract_y
_atom_site_fract_z
_atom_site_occupancy
Sm1 Sm 0.0000 0.2389 0.0000 1
Sm2 Sm 0.2396 0.5000 0.5000 1
Ho1 Ho 0.0000 0.5000 0.0000 1
Er1 Er 0.0000 0.0000 0.5000 1
# D(E_F), states/eV/f.u.: 9.5
# Distance to the lowest polymorph of the same formula, meV/atom: 631
# Formation energy, meV/atom: 648

# Sm5Ho3Er (PBE, optimized geometry)
data_Sm5Ho3Er
_cell_length_a 19.4180
_cell_length_b 6.3505
_cell_length_c 11.5332
_cell_angle_alpha 90.00
_cell_angle_beta 119.94
_cell_angle_gamma 90.00
_space_group_name_H-M_alt 'C 1 2/c 1'
_space_group_IT_number 15
_space_group_name_Hall '-C 2yc'
loop_
_atom_site_label
_atom_site_type_symbol
_atom_site_fract_x
_atom_site_fract_y
_atom_site_fract_z
_atom_site_occupancy
Sm1 Sm 0.0000 0.1029 0.2500 1
Sm2 Sm 0.1488 0.1802 0.6863 1
Sm3 Sm 0.1774 0.3238 0.3417 1
Ho1 Ho 0.0000 0.5000 0.0000 1
Ho2 Ho 0.1688 0.2406 0.0174 1
Er1 Er 0.0000 0.3842 0.7500 1
# D(E_F), states/eV/f.u.: 12.9
# Distance to the lowest polymorph of the same formula, meV/atom: 0
# Formation energy, meV/atom: 287

# SmHo3Er2 (PBE, optimized geometry)
data_SmHo3Er2
_cell_length_a 6.1146
_cell_length_b 7.0682
_cell_length_c 9.3466
_cell_angle_alpha 112.11
_cell_angle_beta 90.07
_cell_angle_gamma 90.03
_space_group_name_H-M_alt 'P -1'
_space_group_IT_number 2
_space_group_name_Hall '-P 1'
loop_
_atom_site_label
_atom_site_type_symbol
_atom_site_fract_x
_atom_site_fract_y
_atom_site_fract_z
_atom_site_occupancy
Sm1 Sm 0.2500 0.1255 0.0001 1
Ho1 Ho 0.0839 0.7068 0.6644 1
Ho2 Ho 0.2500 0.6241 0.9999 1
Ho3 Ho 0.4162 0.0424 0.3356 1
Er1 Er 0.0825 0.2081 0.6654 1
Er2 Er 0.4174 0.5426 0.3346 1
# D(E_F), states/eV/f.u.: 8.3
# Formation energy, meV/atom: 21

# Sm3HoEr7 (PBE, optimized geometry)
data_Sm3HoEr7
_cell_length_a 7.0111
_cell_length_b 7.0111
_cell_length_c 8.5940
_cell_angle_alpha 90.00
_cell_angle_beta 90.00
_cell_angle_gamma 120.00
_space_group_name_H-M_alt 'P 3 m 1'
_space_group_IT_number 156
_space_group_name_Hall 'P 3 -2"'
loop_
_atom_site_label
_atom_site_type_symbol
_atom_site_fract_x
_atom_site_fract_y
_atom_site_fract_z
_atom_site_occupancy
Sm1 Sm 0.9999 0.5000 0.0000 1
Ho1 Ho 0.3333 0.6667 0.3379 1
Er1 Er 0.1675 0.3351 0.6628 1
Er2 Er 0.3351 0.1676 0.3377 1
Er3 Er 0.6667 0.3333 0.6623 1
# D(E_F), states/eV/f.u.: 16.8
# Distance to the lowest polymorph of the same formula, meV/atom: 28
# Formation energy, meV/atom: 182